# Pm6Pr5Dy

A relaxed Pm6Pr5Dy crystal (GGA-PBE, Alexandria via LeMat-Bulk).

```
Pm6Pr5Dy
1.0
6.174 0.000 1.514
3.087 5.503 0.757
-0.786 0.000 12.146
Pr Dy Pm
5 1 6
Direct
0.166 0.667 0.500
0.333 0.334 0.000
0.500 0.000 0.500
0.667 0.666 0.000
0.834 0.333 0.500
0.000 0.000 0.000
0.585 0.332 0.249
0.083 0.332 0.751
0.750 0.000 0.751
0.250 0.000 0.249
0.917 0.668 0.249
0.415 0.668 0.751
```

Magnetic moment, μB per formula unit: 0.0



# Zr2AgSnOs

A relaxed Zr2AgSnOs crystal (GGA-PBE, Alexandria via LeMat-Bulk).

```
Zr2AgSnOs
1.0
-4.120 -2.663 1.931
2.232 -0.380 4.239
-2.196 4.531 1.563
Zr Os Sn Ag
2 1 1 1
Direct
0.000 0.000 0.500
0.500 0.000 0.000
0.000 0.500 0.000
0.000 0.000 0.000
0.500 0.500 0.500
```

Magnetic moment, μB per formula unit: 0.0



Summary of volume in Å³/atom
34.94 26.72
(order as listed above)
Summary of Fermi-level density of states in states/eV per cell
18.3 6.4
(order as listed above)
Summary of E_form in eV/f.u.
0.162 6.678
(order as listed above)